Entry 1:
NdSmTmMg | PBE | optimized geometry

abc: 5.5655 5.5655 5.5655
angles: 60.00 60.00 60.00
Element x y z (fractional)
Nd 0.0000 0.0000 0.0000
Tm 0.7500 0.7500 0.7500
Mg 0.2500 0.2500 0.2500
Sm 0.5000 0.5000 0.5000

Computed properties:
- spin magnetization (Bohr magnetons per cell) = 0.00
- energy above the most stable polymorph in this dataset (eV/f.u.) = 0.156

***

Entry 2:
Nd2Sm6Tm3Mg | PBE | optimized geometry

abc: 6.1915 6.1915 11.7982
angles: 95.04 95.04 120.05
Element x y z (fractional)
Tm 0.5000 0.5000 0.5000
Mg 0.0000 0.0000 0.0000
Sm 0.0839 0.4150 0.2536
Sm 0.5850 0.9161 0.7464
Tm 0.8342 0.1658 0.5000
Sm 0.9161 0.5850 0.7464
Tm 0.1658 0.8342 0.5000
Sm 0.2474 0.2474 0.7455
Sm 0.7526 0.7526 0.2545
Sm 0.4150 0.0839 0.2536
Nd 0.3333 0.6667 0.0000
Nd 0.6667 0.3333 0.0000

Computed properties:
- spin magnetization (Bohr magnetons per cell) = 0.00

***

Entry 3:
NdSm4Tm2Mg | PBE | optimized geometry

abc: 5.8042 9.5334 5.7977
angles: 52.55 90.00 90.00
Element x y z (fractional)
Sm 0.0000 0.2519 0.2486
Nd 0.5000 0.5000 0.0000
Sm 0.5000 0.2524 0.7474
Sm 0.0000 0.7481 0.7514
Sm 0.5000 0.7476 0.2526
Tm 0.5000 0.0000 0.5000
Tm 0.0000 0.0000 0.0000
Mg 0.0000 0.5000 0.5000

Computed properties:
- spin magnetization (Bohr magnetons per cell) = 0.00

***

Entry 4:
NdSm2TmMg | PBE | optimized geometry

abc: 5.5740 6.6770 9.6875
angles: 60.97 90.00 90.00
Element x y z (fractional)
Mg 0.2500 0.4862 0.7569
Sm 0.7500 0.9505 0.4283
Sm 0.2500 0.3123 0.1448
Tm 0.2500 0.9331 0.9435
Mg 0.7500 0.5138 0.2431
Sm 0.7500 0.6877 0.8552
Nd 0.7500 0.3115 0.6472
Nd 0.2500 0.6885 0.3528
Sm 0.2500 0.0495 0.5717
Tm 0.7500 0.0669 0.0565

Computed properties:
- spin magnetization (Bohr magnetons per cell) = 0.00

***

Entry 5:
NdSm6Tm2Mg | PBE | optimized geometry

abc: 8.9859 9.0509 9.0509
angles: 117.75 90.88 90.88
Element x y z (fractional)
Mg 0.2500 0.4354 0.5646
Tm 0.9428 0.6806 0.7841
Sm 0.5936 0.4732 0.7273
Sm 0.3028 0.0309 0.4574
Sm 0.0521 0.1204 0.7902
Mg 0.7500 0.5646 0.4354
Sm 0.9064 0.2727 0.5268
Sm 0.8028 0.4574 0.0309
Sm 0.0936 0.7273 0.4732
Sm 0.4479 0.2098 0.8796
Sm 0.4064 0.5268 0.2727
Tm 0.4428 0.7841 0.6806
Sm 0.1972 0.5426 0.9691
Nd 0.7500 0.0347 0.9653
Sm 0.9479 0.8796 0.2098
Nd 0.2500 0.9653 0.0347
Sm 0.5521 0.7902 0.1204
Tm 0.5572 0.2159 0.3194
Tm 0.0572 0.3194 0.2159
Sm 0.6972 0.9691 0.5426

Computed properties:
- spin magnetization (Bohr magnetons per cell) = 0.00

***

Entry 6:
NdSm6Y2Mg | PBE | optimized geometry

abc: 8.8566 9.2402 9.2402
angles: 118.99 90.50 90.50
Element x y z (fractional)
Y 0.5555 0.2230 0.3215
Y 0.0555 0.3215 0.2230
Sm 0.3046 0.0439 0.4669
Sm 0.5857 0.4605 0.7358
Mg 0.2500 0.4440 0.5560
Sm 0.9477 0.8853 0.2038
Sm 0.0523 0.1147 0.7962
Mg 0.7500 0.5560 0.4440
Sm 0.4143 0.5395 0.2642
Nd 0.7500 0.0377 0.9623
Sm 0.6954 0.9561 0.5331
Sm 0.5523 0.7962 0.1147
Nd 0.2500 0.9623 0.0377
Y 0.4445 0.7770 0.6785
Sm 0.8046 0.4669 0.0439
Sm 0.9143 0.2642 0.5395
Sm 0.0857 0.7358 0.4605
Sm 0.1954 0.5331 0.9561
Sm 0.4477 0.2038 0.8853
Y 0.9445 0.6785 0.7770

Computed properties:
- spin magnetization (Bohr magnetons per cell) = 0.00

***

Ordered ΔE_f results: 14, 15, 66, 11, 119, 114; unit meV per atom.